Record 1
Computed, not measured: crystalline CrSb3Au at its relaxed geometry at the GGA-PBEsol level of DFT.

```
5
Lattice="4.9046 0.0000 0.0000 0.0000 4.9046 0.0000 0.0000 0.0000 4.9046" Properties=species:S:1:pos:R:3 pbc="T T T"
Cr 0.0000 0.0000 0.0000
Sb 0.0000 2.4523 0.0000
Sb 0.0000 0.0000 2.4523
Sb 2.4523 0.0000 0.0000
Au 2.4523 2.4523 2.4523
```

Summary:
Magnetic moment in μB/f.u.: 0.8
Mass density in g/cm3: 8.65
Energy above the lowest structure with this stoichiometry in eV/f.u.: 0.000
Energy relative to the elements, uncorrected in eV per atom: 0.476
D(E_F) in states/eV/atom: 0.957
Energy in eV/cell: -25.5

***

Record 2
Computed, not measured: crystalline CrSbAu at its relaxed geometry at the GGA-PBEsol level of DFT.

```
3
Lattice="-2.9632 -1.7025 -1.2587 0.9331 -2.9936 1.8524 -1.1726 3.7117 3.0089" Properties=species:S:1:pos:R:3 pbc="T T T"
Sb -1.7574 -1.8853 1.4185
Cr -1.4648 0.9130 2.2134
Au -3.1833 -0.9965 3.5732
```

Summary:
Magnetic moment in μB/f.u.: 3.5
Mass density in g/cm3: 11.07
Energy relative to the elements, uncorrected in eV per atom: 0.285
D(E_F) in states/eV/atom: 0.685
Energy in eV/cell: -17.9

***

Record 3
Computed, not measured: crystalline Cr3SbAu at its relaxed geometry at the GGA-PBEsol level of DFT.

```
5
Lattice="-1.3092 -4.6870 -0.5175 4.6987 -1.3419 0.2668 -0.3975 -0.4255 4.8591" Properties=species:S:1:pos:R:3 pbc="T T T"
Sb 1.4960 -3.2272 2.3042
Au 0.0000 0.0000 0.0000
Cr 2.3494 -0.6710 0.1334
Cr -0.6546 -2.3435 -0.2588
Cr -0.1987 -0.2128 2.4295
```

Summary:
Magnetic moment in μB/f.u.: 12.7
Mass density in g/cm3: 6.73
Energy relative to the elements, uncorrected in eV per atom: 1.309
D(E_F) in states/eV/atom: 0.994
Energy in eV/cell: -32.7

***

Record 4
Computed, not measured: crystalline ZnCrSb2Au at its relaxed geometry at the GGA-PBEsol level of DFT.

```
5
Lattice="-0.5470 -1.2812 -4.4979 0.2998 -4.6667 1.2928 -4.8096 -0.1362 0.6237" Properties=species:S:1:pos:R:3 pbc="T T T"
Sb 0.1499 -2.3333 0.6464
Sb -2.4048 -0.0681 0.3118
Zn -0.2735 -0.6406 -2.2489
Au -2.5283 -3.0421 -1.2907
Cr 0.0000 0.0000 0.0000
```

Summary:
Magnetic moment in μB/f.u.: 0.6
Mass density in g/cm3: 8.36
Energy relative to the elements, uncorrected in eV per atom: 0.528
D(E_F) in states/eV/atom: 0.510
Energy in eV/cell: -22.2

***

Record 5
Computed, not measured: crystalline ScCrAuSe2 at its relaxed geometry at the GGA-PBEsol level of DFT.

```
5
Lattice="-4.0167 -1.0380 2.4360 0.9344 -4.9058 -0.5496 2.6026 0.0143 4.2975" Properties=species:S:1:pos:R:3 pbc="T T T"
Cr -2.0084 -0.5190 1.2180
Au 0.0000 0.0000 0.0000
Se 0.4672 -2.4529 -0.2748
Se 1.3013 0.0071 2.1488
Sc -0.2398 -2.9648 3.0920
```

Summary:
Magnetic moment in μB/f.u.: 5.0
Mass density in g/cm3: 6.18
Energy relative to the elements, uncorrected in eV per atom: 0.495
D(E_F) in states/eV/atom: 0.609
Energy in eV/cell: -26.0

***

Record 6
Computed, not measured: crystalline ScCr2TeAu at its relaxed geometry at the GGA-PBEsol level of DFT.

```
5
Lattice="-1.7394 -0.4664 -4.3238 -3.8119 -2.0780 1.7576 -2.3122 4.6079 0.4331" Properties=species:S:1:pos:R:3 pbc="T T T"
Cr -1.9059 -1.0390 0.8788
Te -1.1561 2.3039 0.2166
Sc 0.0000 0.0000 0.0000
Cr -0.8697 -0.2332 -2.1619
Au -3.9318 1.0317 -1.0665
```

Summary:
Magnetic moment in μB/f.u.: 7.4
Mass density in g/cm3: 6.93
Energy relative to the elements, uncorrected in eV per atom: 1.391
D(E_F) in states/eV/atom: 0.921
Energy in eV/cell: -27.6

***

Record 7
Computed, not measured: crystalline Cr2AuSe at its relaxed geometry at the GGA-PBEsol level of DFT.

```
4
Lattice="2.9246 0.0000 0.0000 0.0000 2.9246 0.0000 0.0000 0.0000 7.1334" Properties=species:S:1:pos:R:3 pbc="T T T"
Se 0.0000 0.0000 3.0634
Cr 1.4623 1.4623 1.6631
Cr 0.0000 0.0000 0.3141
Au 1.4623 1.4623 5.6594
```

Summary:
Magnetic moment in μB/f.u.: 1.4
Mass density in g/cm3: 10.34
Energy relative to the elements, uncorrected in eV per atom: 0.186
D(E_F) in states/eV/atom: 0.793
Energy in eV/cell: -27.5

***

Record 8
Computed, not measured: crystalline CrAuSe2 at its relaxed geometry at the GGA-PBEsol level of DFT.

```
4
Lattice="2.9119 0.0000 0.0000 0.0000 2.9119 0.0000 0.0000 0.0000 8.4882" Properties=species:S:1:pos:R:3 pbc="T T T"
Au 0.0000 0.0000 4.5684
Se 0.0000 0.0000 7.7926
Se 1.4560 1.4560 2.3829
Cr 1.4560 1.4560 6.4765
```

Summary:
Magnetic moment in μB/f.u.: 1.8
Mass density in g/cm3: 9.39
Energy relative to the elements, uncorrected in eV per atom: 0.094
D(E_F) in states/eV/atom: 0.854
Energy in eV/cell: -21.5